Ta2CuCl | PBE | relaxed

Cell lengths 4.4546, 4.4546, 4.4546 Å; angles 60.00, 60.00, 60.00 degrees
Closest atoms and distances in Å follow each position.
Sites, in units of the cell vectors:
Cl: 0.0000 0.0000 0.0000  8 Ta 2.73
Cu: 0.5000 0.5000 0.5000  8 Ta 2.73
Ta: 0.2500 0.2500 0.2500  4 Cu 2.73, 4 Cl 2.73
Ta: 0.7500 0.7500 0.7500  4 Cl 2.73, 4 Cu 2.73

Calculated values
- space group = Fm-3m
- formation energy without anion corrections (eV/atom) = 0.51
- energy above the most stable polymorph in this dataset (meV per atom) = 510
- total energy (eV per atom) = -6.9007